VASP calculation (PBE) on a relaxed Sr3MgZn2O6 crystal.

The structure belongs to space group P-3m1 (No. 164); the cell edges are 5.9122, 5.9122 and 6.3604 Å and the angles 90.00°, 90.00° and 120.00°. The distinct sites, in fractional coordinates, are Sr at (0.0000, 0.0000, 0.0000), Sr at (0.3333, 0.6667, 0.6313), Mg at (0.0000, 0.0000, 0.5000), Zn at (0.3333, 0.6667, 0.1870) and O at (0.1628, 0.3256, 0.2977).

The volume comes out at 192.54 Å³ per cell. The calculation puts the density of states at the Fermi level at 0.89 states/eV/cell. For the size of the total moment, the calculation gives 0.0000 μB/atom. For the calculated density, the calculation gives 4.43 Mg/m³. For the total energy, the calculation gives -5.252 eV/atom. The value obtained for the uncorrected formation energy is -2007.2 meV/atom.